1.
{"formula": "LaMnAg2", "functional": "PBEsol", "state": "optimized geometry", "lattice_angstrom": [[0.0000, 3.4464, 3.4464], [3.4464, 0.0000, 3.4464], [3.4464, 3.4464, 0.0000]], "species": ["La", "Mn", "Ag", "Ag"], "fractional_positions": [[0.0000, 0.0000, 0.0000], [0.2500, 0.2500, 0.2500], [0.5000, 0.5000, 0.5000], [0.7500, 0.7500, 0.7500]], "total_energy_ev_per_atom": -5.2406, "magnetic_moment_mub_per_cell": 4.03, "rho_g_cm3": 8.3, "space_group": "F-43m"}

2.
{"formula": "Sr3MgIr", "functional": "PBEsol", "state": "optimized geometry", "lattice_angstrom": [[5.8450, 0.0000, 0.0000], [0.0000, 5.8450, 0.0000], [0.0000, 0.0000, 5.8450]], "species": ["Sr", "Sr", "Sr", "Mg", "Ir"], "fractional_positions": [[0.0000, 0.0000, 0.5000], [0.0000, 0.5000, 0.0000], [0.5000, 0.0000, 0.0000], [0.0000, 0.0000, 0.0000], [0.5000, 0.5000, 0.5000]], "total_energy_ev_per_atom": -2.2577, "magnetic_moment_mub_per_cell": 0.13, "rho_g_cm3": 4.0, "space_group": "Pm-3m"}

3.
{"formula": "SrYCl2", "functional": "PBEsol", "state": "optimized geometry", "lattice_angstrom": [[-1.7760, 1.7987, 9.5326], [1.7760, -1.7987, 9.5326], [1.7760, 1.7987, -9.5326]], "species": ["Sr", "Y", "Cl", "Cl"], "fractional_positions": [[0.0000, 0.0000, 0.0000], [0.3255, 0.8255, 0.5000], [0.5762, 0.5762, 0.0000], [0.7598, 0.2598, 0.5000]], "total_energy_ev_per_atom": -4.5818, "magnetic_moment_mub_per_cell": 0.05, "rho_g_cm3": 3.4, "polymorph_energy_kcal_per_mol_atoms": 0.00, "space_group": "Imm2"}